Entry 1:
Material: CuTeO3
Method: DFT, meta-GGA SCAN
State: PBEsol geometry

Results
Formation energy from raw total energies (eV per atom): -0.961
Magnetic moment (μB per cell): 4.0
Total energy (eV for the cell shown): -303.80

a = 5.941 Å, b = 7.033 Å, c = 5.665 Å
α = 90.00°, β = 90.00°, γ = 90.00°
Space group Pnma (No. 62)
Unique sites:
Cu1 0.000 0.000 0.000 x4
Te1 0.023 0.250 0.498 x4
O1 0.047 0.750 0.838 x4
O2 0.196 0.555 0.404 x8


Entry 2:
Material: CuTeO3
Method: DFT, meta-GGA SCAN
State: PBEsol geometry

Results
Formation energy from raw total energies (eV per atom): -0.947
Magnetic moment (μB per cell): 0.1
Total energy (eV for the cell shown): -607.02

a = 6.247 Å, b = 7.087 Å, c = 11.830 Å
α = 90.00°, β = 97.34°, γ = 90.00°
Space group P2_1/c (No. 14)
Unique sites:
Cu1 0.095 0.147 0.117 x4
Cu2 0.097 0.616 0.116 x4
Te1 0.284 0.130 0.861 x4
Te2 0.432 0.636 0.886 x4
O1 0.013 0.621 0.599 x4
O2 0.186 0.118 0.690 x4
O3 0.191 0.094 0.346 x4
O4 0.200 0.663 0.356 x4
O5 0.361 0.157 0.050 x4
O6 0.361 0.603 0.043 x4


Entry 3:
Material: Ti3Cu3Te2O16
Method: DFT, meta-GGA SCAN
State: PBEsol geometry

Results
Formation energy from raw total energies (eV per atom): -1.677
Magnetic moment (μB per cell): 2.0
Total energy (eV for the cell shown): -616.29

a = 10.487 Å, b = 5.803 Å, c = 9.248 Å
α = 90.00°, β = 93.22°, γ = 90.00°
Space group Cm (No. 8)
Unique sites:
Ti1 0.000 0.000 0.000 x2
Ti2 0.072 0.250 0.510 x4
Cu1 0.247 0.252 0.010 x4
Cu2 0.331 0.000 0.514 x2
Te1 0.330 0.500 0.734 x2
Te2 0.475 0.000 0.232 x2
O1 0.007 0.500 0.618 x2
O2 0.046 0.261 0.121 x4
O3 0.126 0.500 0.374 x2
O4 0.156 0.000 0.424 x2
O5 0.165 0.000 0.921 x2
O6 0.193 0.500 0.879 x2
O7 0.243 0.263 0.620 x4
O8 0.307 0.000 0.131 x2
O9 0.328 0.500 0.100 x2
O10 0.419 0.225 0.374 x4
O11 0.421 0.284 0.858 x4
O12 0.477 0.500 0.603 x2


Entry 4:
Material: ZnCu2TeO
Method: DFT, meta-GGA SCAN
State: PBEsol geometry

Results
Formation energy from raw total energies (eV per atom): 0.189
Magnetic moment (μB per cell): 0.0
Total energy (eV for the cell shown): -86.45

a = 4.774 Å, b = 4.774 Å, c = 3.517 Å
α = 90.00°, β = 90.00°, γ = 90.00°
Space group P4/mmm (No. 123)
Unique sites:
Zn1 0.000 0.000 0.000 x1
Cu1 0.000 0.500 0.000 x2
Te1 0.500 0.500 0.500 x1
O1 0.000 0.000 0.500 x1


Entry 5:
Material: Ti3CuO
Method: DFT, meta-GGA SCAN
State: PBEsol geometry

Results
Formation energy from raw total energies (eV per atom): -1.204
Magnetic moment (μB per cell): 0.0
Total energy (eV for the cell shown): -75.54

a = 4.019 Å, b = 4.019 Å, c = 4.019 Å
α = 90.00°, β = 90.00°, γ = 90.00°
Space group Pm-3m (No. 221)
Unique sites:
Ti1 0.000 0.000 0.500 x3
Cu1 0.500 0.500 0.500 x1
O1 0.000 0.000 0.000 x1


Entry 6:
Material: Ti4Cu3O12
Method: DFT, meta-GGA SCAN
State: PBEsol geometry

Results
Formation energy from raw total energies (eV per atom): -2.301
Magnetic moment (μB per cell): 0.0
Total energy (eV for the cell shown): -456.43

a = 7.302 Å, b = 7.302 Å, c = 7.302 Å
α = 90.00°, β = 90.00°, γ = 90.00°
Space group Im-3 (No. 204)
Unique sites:
Ti1 0.250 0.250 0.250 x8
Cu1 0.000 0.000 0.500 x6
O1 0.000 0.316 0.176 x24


Entry 7:
Material: Tm2Ti12Cu9O36
Method: DFT, meta-GGA SCAN
State: PBEsol geometry

Results
Formation energy from raw total energies (eV per atom): -2.609
Magnetic moment (μB per cell): 9.0
Total energy (eV for the cell shown): -811.10

a = 10.3759 Å, b = 10.3759 Å, c = 6.3702 Å
α = 90.00°, β = 90.00°, γ = 120.00°
Space group P-3 (No. 147)
Unique sites:
Tm1 0.3333 0.6667 0.1708 x2
Ti1 0.0000 0.0000 0.0000 x1
Ti2 0.0000 0.5000 0.0000 x3
Ti3 0.1581 0.3198 0.3378 x6
Ti4 0.3333 0.6667 0.6596 x2
Cu1 0.0000 0.5000 0.5000 x3
Cu2 0.1686 0.3376 0.8405 x6
O1 0.0153 0.1653 0.1691 x6
O2 0.0455 0.2709 0.5918 x6
O3 0.0765 0.4514 0.2507 x6
O4 0.1208 0.7073 0.0881 x6
O5 0.1777 0.5274 0.8562 x6
O6 0.1925 0.6823 0.4811 x6


Entry 8:
Material: TiV4CuO12
Method: DFT, meta-GGA SCAN
State: PBEsol geometry

Results
Formation energy from raw total energies (eV per atom): -2.460
Magnetic moment (μB per cell): 2.1
Total energy (eV for the cell shown): -440.48

a = 9.915 Å, b = 8.863 Å, c = 5.762 Å
α = 90.00°, β = 109.98°, γ = 90.00°
Space group C2 (No. 5)
Unique sites:
Ti1 0.000 0.000 0.000 x2
V1 0.200 0.327 0.990 x4
V2 0.208 0.509 0.504 x4
Cu1 0.000 0.822 0.500 x2
O1 0.107 0.992 0.364 x4
O2 0.117 0.837 0.914 x4
O3 0.132 0.407 0.696 x4
O4 0.136 0.147 0.979 x4
O5 0.147 0.434 0.199 x4
O6 0.155 0.686 0.492 x4


Entry 9:
Material: Y2Ti12Cu9O36
Method: DFT, meta-GGA SCAN
State: PBEsol geometry

Results
Formation energy from raw total energies (eV per atom): -2.615
Magnetic moment (μB per cell): 9.0
Total energy (eV for the cell shown): -763.45

a = 10.3891 Å, b = 10.3891 Å, c = 6.3801 Å
α = 90.00°, β = 90.00°, γ = 120.00°
Space group P-3 (No. 147)
Unique sites:
Y1 0.3333 0.6667 0.1709 x2
Ti1 0.0000 0.0000 0.0000 x1
Ti2 0.0000 0.5000 0.0000 x3
Ti3 0.1579 0.3193 0.3378 x6
Ti4 0.3333 0.6667 0.6598 x2
Cu1 0.0000 0.5000 0.5000 x3
Cu2 0.1685 0.3372 0.8400 x6
O1 0.0153 0.1650 0.1692 x6
O2 0.0455 0.2704 0.5915 x6
O3 0.0754 0.4504 0.2509 x6
O4 0.1194 0.7075 0.0877 x6
O5 0.1770 0.5269 0.8550 x6
O6 0.1920 0.6826 0.4827 x6


Entry 10:
Material: ZrTiCuO5
Method: DFT, meta-GGA SCAN
State: PBEsol geometry

Results
Formation energy from raw total energies (eV per atom): -2.846
Magnetic moment (μB per cell): 4.0
Total energy (eV for the cell shown): -463.41

a = 3.597 Å, b = 6.660 Å, c = 14.633 Å
α = 90.00°, β = 90.00°, γ = 90.00°
Space group P2_12_12_1 (No. 19)
Unique sites:
Zr1 0.089 0.163 0.405 x4
Ti1 0.106 0.645 0.426 x4
Cu1 0.001 0.096 0.754 x4
O1 0.086 0.342 0.688 x4
O2 0.092 0.382 0.516 x4
O3 0.106 0.855 0.535 x4
O4 0.119 0.441 0.340 x4
O5 0.123 0.866 0.350 x4


Entry 11:
Material: Tl3CuO
Method: DFT, meta-GGA SCAN
State: PBEsol geometry

Results
Formation energy from raw total energies (eV per atom): 0.242
Magnetic moment (μB per cell): 0.0
Total energy (eV for the cell shown): -237.29

a = 4.874 Å, b = 4.874 Å, c = 4.874 Å
α = 90.00°, β = 90.00°, γ = 90.00°
Space group Pm-3m (No. 221)
Unique sites:
Tl1 0.000 0.000 0.500 x3
Cu1 0.500 0.500 0.500 x1
O1 0.000 0.000 0.000 x1


Entry 12:
Material: TlCu2O2
Method: DFT, meta-GGA SCAN
State: PBEsol geometry

Results
Formation energy from raw total energies (eV per atom): -0.682
Magnetic moment (μB per cell): 4.0
Total energy (eV for the cell shown): -474.52

a = 5.451 Å, b = 5.997 Å, c = 8.890 Å
α = 90.00°, β = 90.00°, γ = 90.00°
Space group Imma (No. 74)
Unique sites:
Tl1 0.000 0.250 0.100 x4
Cu1 0.000 0.000 0.500 x4
Cu2 0.250 0.250 0.750 x4
O1 0.000 0.030 0.703 x8


Entry 13:
Material: Tl2CuWO
Method: DFT, meta-GGA SCAN
State: PBEsol geometry

Results
Formation energy from raw total energies (eV per atom): 0.577
Magnetic moment (μB per cell): 1.1
Total energy (eV for the cell shown): -232.95

a = 5.005 Å, b = 5.005 Å, c = 3.819 Å
α = 90.00°, β = 90.00°, γ = 90.00°
Space group P4/mmm (No. 123)
Unique sites:
Tl1 0.000 0.500 0.000 x2
Cu1 0.000 0.000 0.500 x1
W1 0.500 0.500 0.500 x1
O1 0.500 0.500 0.000 x1


Entry 14:
Material: TmCu2O4
Method: DFT, meta-GGA SCAN
State: PBEsol geometry

Results
Formation energy from raw total energies (eV per atom): -1.979
Magnetic moment (μB per cell): 4.0
Total energy (eV for the cell shown): -484.04

a = 5.542 Å, b = 5.542 Å, c = 9.466 Å
α = 90.00°, β = 90.00°, γ = 90.00°
Space group I4_1/a (No. 88, origin choice 2)
Unique sites:
Tm1 0.000 0.250 0.125 x4
Cu1 0.000 0.000 0.500 x8
O1 0.147 0.047 0.322 x16